Entry 1:
Compound: Y3AuCl
Source: Alexandria
Functional: GGA-PBEsol
Structure: relaxed

Summary:
Uncorrected energy, eV per atom: -5.514
Mass density, kg/m3: 4992

The structure in CIF format:
```
data_Y3AuCl
_cell_length_a 5.496
_cell_length_b 5.496
_cell_length_c 5.496
_cell_angle_alpha 90.00
_cell_angle_beta 90.00
_cell_angle_gamma 90.00
_space_group_name_H-M_alt 'P 1'
_space_group_IT_number 1
loop_
_space_group_symop_operation_xyz
'x,y,z'
loop_
_atom_site_label
_atom_site_type_symbol
_atom_site_fract_x
_atom_site_fract_y
_atom_site_fract_z
Y1 Y 0.000 0.000 0.500
Y2 Y 0.000 0.500 0.000
Y3 Y 0.500 0.000 0.000
Au1 Au 0.000 0.000 0.000
Cl1 Cl 0.500 0.500 0.500
```

***

Entry 2:
Compound: Mn2CrNi
Source: Alexandria
Functional: GGA-PBEsol
Structure: relaxed

Summary:
E_form, kcal/mol of atoms: 2.2
Mass density, kg/m3: 8167

The structure in CIF format:
```
data_Mn2CrNi
_cell_length_a 3.988
_cell_length_b 3.988
_cell_length_c 3.988
_cell_angle_alpha 60.00
_cell_angle_beta 60.00
_cell_angle_gamma 60.00
_space_group_name_H-M_alt 'P 1'
_space_group_IT_number 1
loop_
_space_group_symop_operation_xyz
'x,y,z'
loop_
_atom_site_label
_atom_site_type_symbol
_atom_site_fract_x
_atom_site_fract_y
_atom_site_fract_z
Mn1 Mn 0.250 0.250 0.250
Mn2 Mn 0.750 0.750 0.750
Cr1 Cr 0.000 0.000 0.000
Ni1 Ni 0.500 0.500 0.500
```

***

Entry 3:
Compound: Mg2Ge2Rh
Source: Alexandria
Functional: GGA-PBEsol
Structure: relaxed

Summary:
E_form, kcal/mol of atoms: -9.6
Mass density, kg/m3: 5815

The structure in CIF format:
```
data_Mg2Ge2Rh
_cell_length_a 6.398
_cell_length_b 6.398
_cell_length_c 4.141
_cell_angle_alpha 90.00
_cell_angle_beta 90.00
_cell_angle_gamma 90.00
_space_group_name_H-M_alt 'P 1'
_space_group_IT_number 1
loop_
_space_group_symop_operation_xyz
'x,y,z'
loop_
_atom_site_label
_atom_site_type_symbol
_atom_site_fract_x
_atom_site_fract_y
_atom_site_fract_z
Mg1 Mg 0.175 0.325 0.000
Mg2 Mg 0.325 0.825 0.000
Mg3 Mg 0.675 0.175 0.000
Mg4 Mg 0.825 0.675 0.000
Ge1 Ge 0.137 0.637 0.500
Ge2 Ge 0.363 0.137 0.500
Ge3 Ge 0.637 0.863 0.500
Ge4 Ge 0.863 0.363 0.500
Rh1 Rh 0.000 0.000 0.500
Rh2 Rh 0.500 0.500 0.500
```

***

Entry 4:
Compound: Ti4Co4Si7
Source: Alexandria
Functional: GGA-PBEsol
Structure: relaxed

Summary:
Uncorrected energy, eV per atom: -7.821
Mass density, kg/m3: 5544

The structure in CIF format:
```
data_Ti4Co4Si7
_cell_length_a 9.090
_cell_length_b 9.090
_cell_length_c 9.090
_cell_angle_alpha 94.12
_cell_angle_beta 94.12
_cell_angle_gamma 148.91
_space_group_name_H-M_alt 'P 1'
_space_group_IT_number 1
loop_
_space_group_symop_operation_xyz
'x,y,z'
loop_
_atom_site_label
_atom_site_type_symbol
_atom_site_fract_x
_atom_site_fract_y
_atom_site_fract_z
Ti1 Ti 0.000 0.193 0.193
Ti2 Ti 0.000 0.807 0.807
Ti3 Ti 0.193 0.000 0.193
Ti4 Ti 0.364 0.364 0.729
Ti5 Ti 0.364 0.636 0.000
Ti6 Ti 0.636 0.364 0.000
Ti7 Ti 0.636 0.636 0.271
Ti8 Ti 0.807 0.000 0.807
Co1 Co 0.100 0.600 0.201
Co2 Co 0.100 0.900 0.500
Co3 Co 0.400 0.600 0.500
Co4 Co 0.400 0.900 0.799
Co5 Co 0.600 0.100 0.201
Co6 Co 0.600 0.400 0.500
Co7 Co 0.900 0.100 0.500
Co8 Co 0.900 0.400 0.799
Si1 Si 0.000 0.405 0.405
Si2 Si 0.000 0.595 0.595
Si3 Si 0.206 0.500 0.706
Si4 Si 0.207 0.207 0.413
Si5 Si 0.207 0.793 0.000
Si6 Si 0.250 0.250 0.000
Si7 Si 0.405 0.000 0.405
Si8 Si 0.500 0.206 0.706
Si9 Si 0.500 0.794 0.294
Si10 Si 0.595 0.000 0.595
Si11 Si 0.750 0.750 0.000
Si12 Si 0.793 0.207 0.000
Si13 Si 0.793 0.793 0.587
Si14 Si 0.794 0.500 0.294
```

***

Entry 5:
Compound: BaNi9P5
Source: Alexandria
Functional: GGA-PBEsol
Structure: relaxed

Summary:
E_form, kcal/mol of atoms: -17.0
Mass density, kg/m3: 7053

The structure in CIF format:
```
data_BaNi9P5
_cell_length_a 6.434
_cell_length_b 6.434
_cell_length_c 10.775
_cell_angle_alpha 90.00
_cell_angle_beta 90.00
_cell_angle_gamma 120.00
_space_group_name_H-M_alt 'P 1'
_space_group_IT_number 1
loop_
_space_group_symop_operation_xyz
'x,y,z'
loop_
_atom_site_label
_atom_site_type_symbol
_atom_site_fract_x
_atom_site_fract_y
_atom_site_fract_z
Ba1 Ba 0.000 0.000 0.000
Ba2 Ba 0.000 0.000 0.500
Ni1 Ni 0.072 0.536 0.107
Ni2 Ni 0.072 0.536 0.393
Ni3 Ni 0.204 0.408 0.750
Ni4 Ni 0.204 0.796 0.750
Ni5 Ni 0.408 0.204 0.250
Ni6 Ni 0.464 0.536 0.107
Ni7 Ni 0.464 0.536 0.393
Ni8 Ni 0.464 0.928 0.107
Ni9 Ni 0.464 0.928 0.393
Ni10 Ni 0.536 0.072 0.607
Ni11 Ni 0.536 0.072 0.893
Ni12 Ni 0.536 0.464 0.607
Ni13 Ni 0.536 0.464 0.893
Ni14 Ni 0.592 0.796 0.750
Ni15 Ni 0.796 0.204 0.250
Ni16 Ni 0.796 0.592 0.250
Ni17 Ni 0.928 0.464 0.607
Ni18 Ni 0.928 0.464 0.893
P1 P 0.176 0.352 0.250
P2 P 0.176 0.824 0.250
P3 P 0.333 0.667 0.562
P4 P 0.333 0.667 0.938
P5 P 0.352 0.176 0.750
P6 P 0.648 0.824 0.250
P7 P 0.667 0.333 0.062
P8 P 0.667 0.333 0.438
P9 P 0.824 0.176 0.750
P10 P 0.824 0.648 0.750
```

***

Entry 6:
Compound: TlGeIrCl2
Source: Alexandria
Functional: GGA-PBEsol
Structure: relaxed

Summary:
Uncorrected energy, eV per atom: -4.013
Mass density, kg/m3: 7195

The structure in CIF format:
```
data_TlGeIrCl2
_cell_length_a 5.123
_cell_length_b 5.123
_cell_length_c 4.749
_cell_angle_alpha 90.00
_cell_angle_beta 90.00
_cell_angle_gamma 90.00
_space_group_name_H-M_alt 'P 1'
_space_group_IT_number 1
loop_
_space_group_symop_operation_xyz
'x,y,z'
loop_
_atom_site_label
_atom_site_type_symbol
_atom_site_fract_x
_atom_site_fract_y
_atom_site_fract_z
Tl1 Tl 0.000 0.000 0.000
Ge1 Ge 0.500 0.500 0.500
Ir1 Ir 0.500 0.500 0.000
Cl1 Cl 0.000 0.500 0.500
Cl2 Cl 0.500 0.000 0.500
```

***

Entry 7:
Compound: FeSbF3
Source: Alexandria
Functional: GGA-PBEsol
Structure: relaxed

Summary:
Uncorrected energy, eV per atom: -5.027
Mass density, kg/m3: 5582

The structure in CIF format:
```
data_FeSbF3
_cell_length_a 4.117
_cell_length_b 4.117
_cell_length_c 4.117
_cell_angle_alpha 90.00
_cell_angle_beta 90.00
_cell_angle_gamma 90.00
_space_group_name_H-M_alt 'P 1'
_space_group_IT_number 1
loop_
_space_group_symop_operation_xyz
'x,y,z'
loop_
_atom_site_label
_atom_site_type_symbol
_atom_site_fract_x
_atom_site_fract_y
_atom_site_fract_z
Fe1 Fe 0.000 0.000 0.000
Sb1 Sb 0.500 0.500 0.500
F1 F 0.000 0.000 0.500
F2 F 0.000 0.500 0.000
F3 F 0.500 0.000 0.000
```

***

Entry 8:
Compound: ScMn4Al
Source: Alexandria
Functional: GGA-PBEsol
Structure: relaxed

Summary:
E_form, kcal/mol of atoms: -3.2
Mass density, kg/m3: 6451

The structure in CIF format:
```
data_ScMn4Al
_cell_length_a 4.735
_cell_length_b 4.735
_cell_length_c 4.735
_cell_angle_alpha 60.00
_cell_angle_beta 60.00
_cell_angle_gamma 60.00
_space_group_name_H-M_alt 'P 1'
_space_group_IT_number 1
loop_
_space_group_symop_operation_xyz
'x,y,z'
loop_
_atom_site_label
_atom_site_type_symbol
_atom_site_fract_x
_atom_site_fract_y
_atom_site_fract_z
Sc1 Sc 0.000 0.000 0.000
Mn1 Mn 0.128 0.624 0.624
Mn2 Mn 0.624 0.128 0.624
Mn3 Mn 0.624 0.624 0.128
Mn4 Mn 0.624 0.624 0.624
Al1 Al 0.250 0.250 0.250
```

***

Entry 9:
Compound: CaMgCu2
Source: Alexandria
Functional: GGA-PBEsol
Structure: relaxed

Summary:
E_form, kcal/mol of atoms: -1.0
Mass density, kg/m3: 4142

The structure in CIF format:
```
data_CaMgCu2
_cell_length_a 4.043
_cell_length_b 5.481
_cell_length_c 5.481
_cell_angle_alpha 39.20
_cell_angle_beta 90.00
_cell_angle_gamma 90.00
_space_group_name_H-M_alt 'P 1'
_space_group_IT_number 1
loop_
_space_group_symop_operation_xyz
'x,y,z'
loop_
_atom_site_label
_atom_site_type_symbol
_atom_site_fract_x
_atom_site_fract_y
_atom_site_fract_z
Ca1 Ca 0.000 0.000 0.000
Mg1 Mg 0.500 0.706 0.706
Cu1 Cu 0.000 0.278 0.278
Cu2 Cu 0.500 0.405 0.405
```

***

Entry 10:
Compound: BaBe2W
Source: Alexandria
Functional: GGA-PBEsol
Structure: relaxed

Summary:
E_form, kcal/mol of atoms: 26.1
Mass density, kg/m3: 8282
Excess energy over the best structure of this formula in the dataset, meV per atom: 415.6

The structure in CIF format:
```
data_BaBe2W
_cell_length_a 4.925
_cell_length_b 4.925
_cell_length_c 2.803
_cell_angle_alpha 90.00
_cell_angle_beta 90.00
_cell_angle_gamma 90.15
_space_group_name_H-M_alt 'P 1'
_space_group_IT_number 1
loop_
_space_group_symop_operation_xyz
'x,y,z'
loop_
_atom_site_label
_atom_site_type_symbol
_atom_site_fract_x
_atom_site_fract_y
_atom_site_fract_z
Ba1 Ba 0.000 0.000 0.000
Be1 Be 0.000 0.500 0.500
Be2 Be 0.500 0.000 0.500
W1 W 0.500 0.500 0.000
```

***

Entry 11:
Compound: TiTl2S4
Source: Alexandria
Functional: GGA-PBEsol
Structure: relaxed

Summary:
Uncorrected energy, eV per atom: -5.171
Mass density, kg/m3: 6058

The structure in CIF format:
```
data_TiTl2S4
_cell_length_a 6.326
_cell_length_b 21.697
_cell_length_c 9.345
_cell_angle_alpha 90.00
_cell_angle_beta 90.00
_cell_angle_gamma 90.00
_space_group_name_H-M_alt 'P 1'
_space_group_IT_number 1
loop_
_space_group_symop_operation_xyz
'x,y,z'
loop_
_atom_site_label
_atom_site_type_symbol
_atom_site_fract_x
_atom_site_fract_y
_atom_site_fract_z
Ti1 Ti 0.036 0.129 0.179
Ti2 Ti 0.036 0.371 0.679
Ti3 Ti 0.464 0.629 0.179
Ti4 Ti 0.464 0.871 0.679
Ti5 Ti 0.536 0.129 0.321
Ti6 Ti 0.536 0.371 0.821
Ti7 Ti 0.964 0.629 0.321
Ti8 Ti 0.964 0.871 0.821
Tl1 Tl 0.073 0.197 0.566
Tl2 Tl 0.073 0.303 0.066
Tl3 Tl 0.176 0.542 0.855
Tl4 Tl 0.176 0.958 0.355
Tl5 Tl 0.324 0.042 0.855
Tl6 Tl 0.324 0.458 0.355
Tl7 Tl 0.427 0.697 0.566
Tl8 Tl 0.427 0.803 0.066
Tl9 Tl 0.573 0.197 0.934
Tl10 Tl 0.573 0.303 0.434
Tl11 Tl 0.676 0.542 0.645
Tl12 Tl 0.676 0.958 0.145
Tl13 Tl 0.824 0.042 0.645
Tl14 Tl 0.824 0.458 0.145
Tl15 Tl 0.927 0.697 0.934
Tl16 Tl 0.927 0.803 0.434
S1 S 0.063 0.163 0.927
S2 S 0.063 0.337 0.427
S3 S 0.115 0.584 0.534
S4 S 0.115 0.916 0.034
S5 S 0.155 0.562 0.174
S6 S 0.155 0.938 0.674
S7 S 0.225 0.705 0.273
S8 S 0.225 0.795 0.773
S9 S 0.275 0.205 0.273
S10 S 0.275 0.295 0.773
S11 S 0.345 0.062 0.174
S12 S 0.345 0.438 0.674
S13 S 0.385 0.084 0.534
S14 S 0.385 0.416 0.034
S15 S 0.437 0.663 0.927
S16 S 0.437 0.837 0.427
S17 S 0.563 0.163 0.573
S18 S 0.563 0.337 0.073
S19 S 0.615 0.584 0.966
S20 S 0.615 0.916 0.466
S21 S 0.655 0.562 0.326
S22 S 0.655 0.938 0.826
S23 S 0.725 0.705 0.227
S24 S 0.725 0.795 0.727
S25 S 0.775 0.205 0.227
S26 S 0.775 0.295 0.727
S27 S 0.845 0.062 0.326
S28 S 0.845 0.438 0.826
S29 S 0.885 0.084 0.966
S30 S 0.885 0.416 0.466
S31 S 0.937 0.663 0.573
S32 S 0.937 0.837 0.073
```

***

> Among the records above, which one has the highest mass density?

BaBe2W